No. 1
Ac4TbDy after structural relaxation, computed with PBE.

It has space group P-1 (No. 2), with a = 3.755 Å, b = 6.162 Å, c = 10.527 Å, α = 89.89°, β = 89.62° and γ = 82.95°. The inequivalent atoms are Ac at (0.217, 0.033, 0.162), Ac at (0.280, 0.466, 0.663), Tb at (0.000, 0.000, 0.500) and Dy at (0.500, 0.500, 0.000).

The value obtained for the density of states at the Fermi level is 9.7 states/eV/cell. Its formation energy is 0.140 eV per atom. As for the total energy: -24.8 eV per cell. The energy relative to the lowest polymorph listed for this composition comes out at 0.0 meV per atom.


No. 2
ThTaS2 after structural relaxation, computed with PBE.

It has space group R-3m (No. 166, hexagonal axes), with a = 3.3544 Å, b = 3.3544 Å, c = 27.0006 Å, α = 90.00°, β = 90.00° and γ = 120.00°. The inequivalent atoms are Th at (0.0000, 0.0000, 0.0000), Ta at (0.0000, 0.0000, 0.5000) and S at (0.0000, 0.0000, 0.1078).

The value obtained for the density of states at the Fermi level is 13.1 states/eV/cell. As for the total energy: -91.6 eV per cell. Its uncorrected formation energy is -0.748 eV/atom.


No. 3
BaZrOs after structural relaxation, computed with PBE.

It has space group P3m1 (No. 156), with a = 4.1976 Å, b = 4.1976 Å, c = 6.1590 Å, α = 90.00°, β = 90.00° and γ = 120.00°. The inequivalent atoms are Ba at (0.0000, 0.0000, 0.0000), Zr at (0.3333, 0.6667, 0.4869) and Os at (0.6667, 0.3333, 0.3310).

The value obtained for the density of states at the Fermi level is 1.4 states/eV/cell. Its formation energy is 0.417 eV per atom. As for the total energy: -20.4 eV per cell. The energy relative to the lowest polymorph listed for this composition comes out at 197.7 meV per atom.


No. 4
NaTmSn2Cl8 after structural relaxation, computed with PBE.

It has space group P-1 (No. 2), with a = 6.476 Å, b = 6.726 Å, c = 8.355 Å, α = 89.97°, β = 89.99° and γ = 88.70°. The inequivalent atoms are Na at (0.000, 0.000, 0.000), Tm at (0.000, 0.000, 0.500), Sn at (0.500, 0.500, 0.247), Cl at (0.220, 0.840, 0.267), Cl at (0.221, 0.841, 0.733), Cl at (0.238, 0.309, 0.499) and Cl at (0.282, 0.338, 0.001).

The value obtained for the density of states at the Fermi level is 0.0 states/eV/cell. As for the total energy: -47.2 eV per cell. Its uncorrected formation energy is -1.555 eV/atom.


No. 5
LiTiSN2 after structural relaxation, computed with PBE.

It has space group P4/mmm (No. 123), with a = 3.573 Å, b = 3.573 Å, c = 4.381 Å, α = 90.00°, β = 90.00° and γ = 90.00°. The inequivalent atoms are Li at (0.000, 0.000, 0.000), Ti at (0.500, 0.500, 0.500), S at (0.000, 0.000, 0.500) and N at (0.000, 0.500, 0.000).

The value obtained for the density of states at the Fermi level is 3.1 states/eV/cell. As for the total energy: -26.0 eV per cell. Its uncorrected formation energy is 0.927 eV/atom. The energy relative to the lowest polymorph listed for this composition comes out at 948.7 meV per atom.


No. 6
AlCr3Br after structural relaxation, computed with PBE.

It has space group Pm-3m (No. 221), with a = 4.941 Å, b = 4.941 Å, c = 4.941 Å, α = 90.00°, β = 90.00° and γ = 90.00°. The inequivalent atoms are Al at (0.000, 0.000, 0.000), Cr at (0.000, 0.000, 0.500) and Br at (0.500, 0.500, 0.500).

The value obtained for the density of states at the Fermi level is 3.7 states/eV/cell. As for the total energy: -28.7 eV per cell. Its uncorrected formation energy is 1.122 eV/atom. The energy relative to the lowest polymorph listed for this composition comes out at 0.0 meV per atom.


No. 7
LiGa2Bi after structural relaxation, computed with PBE.

It has space group P4/mmm (No. 123), with a = 4.387 Å, b = 4.387 Å, c = 4.518 Å, α = 90.00°, β = 90.00° and γ = 90.00°. The inequivalent atoms are Li at (0.000, 0.000, 0.000), Ga at (0.000, 0.500, 0.500) and Bi at (0.500, 0.500, 0.000).

The value obtained for the density of states at the Fermi level is 2.2 states/eV/cell. Its formation energy is -0.118 eV per atom. As for the total energy: -12.3 eV per cell.


No. 8
Be2AlCoAu after structural relaxation, computed with PBE.

It has space group P4/mmm (No. 123), with a = 4.221 Å, b = 4.221 Å, c = 4.204 Å, α = 90.00°, β = 90.00° and γ = 90.00°. The inequivalent atoms are Be at (0.000, 0.500, 0.000), Al at (0.000, 0.000, 0.000), Co at (0.000, 0.000, 0.500) and Au at (0.500, 0.500, 0.500).

The value obtained for the density of states at the Fermi level is 2.3 states/eV/cell. Its formation energy is 0.970 eV per atom. As for the total energy: -16.7 eV per cell.


No. 9
CsPmB2H8 after structural relaxation, computed with PBE.

It has space group R-3m (No. 166, hexagonal axes), with a = 4.1830 Å, b = 4.1830 Å, c = 26.2608 Å, α = 90.00°, β = 90.00° and γ = 120.00°. The inequivalent atoms are Cs at (0.0000, 0.0000, 0.0000), Pm at (0.0000, 0.0000, 0.5000), B at (0.0000, 0.0000, 0.2344), H at (0.0000, 0.0000, 0.2810) and H at (0.0086, 0.5043, 0.4483).

The value obtained for the density of states at the Fermi level is 3.2 states/eV/cell. As for the total energy: -147.9 eV per cell.


No. 10
PmTi2 after structural relaxation, computed with PBE.

It has space group Fd-3m (No. 227, origin choice 2), with a = 8.336 Å, b = 8.336 Å, c = 8.336 Å, α = 90.00°, β = 90.00° and γ = 90.00°. The inequivalent atoms are Pm at (0.125, 0.125, 0.125) and Ti at (0.000, 0.000, 0.500).

The value obtained for the density of states at the Fermi level is 31.4 states/eV/cell. Its formation energy is 0.307 eV per atom. As for the total energy: -157.0 eV per cell.


No. 11
LiZnF2 after structural relaxation, computed with PBE.

It has space group R-3m (No. 166, hexagonal axes), with a = 3.2518 Å, b = 3.2518 Å, c = 19.5564 Å, α = 90.00°, β = 90.00° and γ = 120.00°. The inequivalent atoms are Li at (0.0000, 0.0000, 0.0000), Zn at (0.0000, 0.0000, 0.5000) and F at (0.0000, 0.0000, 0.0882).

The value obtained for the density of states at the Fermi level is 1.8 states/eV/cell. As for the total energy: -41.8 eV per cell. Its uncorrected formation energy is -1.752 eV/atom. The energy relative to the lowest polymorph listed for this composition comes out at 339.9 meV per atom.


No. 12
La2PrTl9 after structural relaxation, computed with PBE.

It has space group P4/mmm (No. 123), with a = 4.880 Å, b = 4.880 Å, c = 14.633 Å, α = 90.00°, β = 90.00° and γ = 90.00°. The inequivalent atoms are La at (0.000, 0.000, 0.168), Pr at (0.000, 0.000, 0.500), Tl at (0.000, 0.500, 0.000), Tl at (0.000, 0.500, 0.335), Tl at (0.500, 0.500, 0.167) and Tl at (0.500, 0.500, 0.500).

The value obtained for the density of states at the Fermi level is 4.9 states/eV/cell. Its formation energy is -0.351 eV per atom. As for the total energy: -40.1 eV per cell.